(1)
Compound: SiPd2S
Source: the Alexandria database
Functional: PBE-GGA
Structure: optimized geometry

As for the total energy: -81.614 eV/cell. For the energy above the most stable polymorph in this dataset, the calculation gives 58 meV/atom. Its uncorrected formation energy is -0.12 eV/atom. As for the density of states at the Fermi level: 2.29 states/eV per cell.

It has space group Fm-3m (No. 225), with a = 6.189 Å, b = 6.189 Å, c = 6.189 Å, α = 90.00°, β = 90.00° and γ = 90.00°. Symmetry generates all atoms from Si at (0.000, 0.000, 0.000), Pd at (0.250, 0.250, 0.250) and S at (0.000, 0.000, 0.500).



(2)
Compound: SiPdS3
Source: the Alexandria database
Functional: PBE-GGA
Structure: optimized geometry

As for the total energy: -51.334 eV/cell. Its uncorrected formation energy is -0.53 eV/atom. As for the density of states at the Fermi level: 0.00 states/eV per cell.

It has space group P-1 (No. 2), with a = 3.433 Å, b = 7.886 Å, c = 9.670 Å, α = 72.14°, β = 89.99° and γ = 77.47°. Symmetry generates all atoms from Si at (0.081, 0.338, 0.288), Pd at (0.399, 0.703, 0.025), S at (0.066, 0.368, 0.800), S at (0.162, 0.175, 0.143) and S at (0.379, 0.743, 0.568).



(3)
Compound: Si3PdS
Source: the Alexandria database
Functional: PBE-GGA
Structure: optimized geometry

As for the total energy: -21.595 eV/cell. For the energy above the most stable polymorph in this dataset, the calculation gives 197 meV/atom. Its uncorrected formation energy is 0.80 eV/atom. As for the density of states at the Fermi level: 2.53 states/eV per cell.

It has space group Pm-3m (No. 221), with a = 4.451 Å, b = 4.451 Å, c = 4.451 Å, α = 90.00°, β = 90.00° and γ = 90.00°. Symmetry generates all atoms from Si at (0.000, 0.000, 0.500), Pd at (0.500, 0.500, 0.500) and S at (0.000, 0.000, 0.000).



(4)
Compound: SiPdS3
Source: the Alexandria database
Functional: PBE-GGA
Structure: optimized geometry

As for the total energy: -20.566 eV/cell. Its uncorrected formation energy is 0.49 eV/atom. As for the density of states at the Fermi level: 8.00 states/eV per cell.

It has space group Pm-3m (No. 221), with a = 4.476 Å, b = 4.476 Å, c = 4.476 Å, α = 90.00°, β = 90.00° and γ = 90.00°. Symmetry generates all atoms from Si at (0.000, 0.000, 0.000), Pd at (0.500, 0.500, 0.500) and S at (0.000, 0.000, 0.500).